# 1
# PBE CaZrAs3, relaxed
data_CaZrAs3
_cell_length_a 5.116
_cell_length_b 5.116
_cell_length_c 5.116
_cell_angle_alpha 90.00
_cell_angle_beta 90.00
_cell_angle_gamma 90.00
_space_group_name_H-M_alt 'P m -3 m'
_space_group_IT_number 221
_space_group_name_Hall '-P 4 2 3'
loop_
_atom_site_label
_atom_site_type_symbol
_atom_site_fract_x
_atom_site_fract_y
_atom_site_fract_z
_atom_site_occupancy
Ca1 Ca 0.000 0.000 0.000 1
Zr1 Zr 0.500 0.500 0.500 1
As1 As 0.000 0.000 0.500 1
# **Volume**: 133.89 Å³ per cell
# **DOS at the Fermi energy**: 5.445 states/eV/cell
# **Energy of formation**: 3.7 eV per formula unit
# **Total energy**: -4.169 eV per atom
# **Calculated density**: 4.4 g cm⁻³

# 2
# PBE HfBiF2, relaxed
data_HfBiF2
_cell_length_a 4.660
_cell_length_b 4.660
_cell_length_c 13.966
_cell_angle_alpha 90.00
_cell_angle_beta 90.00
_cell_angle_gamma 90.00
_space_group_name_H-M_alt 'I -4 2 d'
_space_group_IT_number 122
_space_group_name_Hall 'I -4 2bw'
loop_
_atom_site_label
_atom_site_type_symbol
_atom_site_fract_x
_atom_site_fract_y
_atom_site_fract_z
_atom_site_occupancy
Hf1 Hf 0.000 0.000 0.000 1
Bi1 Bi 0.000 0.000 0.500 1
F1 F 0.009 0.250 0.125 1
# **Volume**: 303.34 Å³ per cell
# **DOS at the Fermi energy**: 3.431 states/eV/cell
# **Energy relative to the elements, uncorrected**: -7.422 eV per formula unit
# **Total energy**: -6.250 eV per atom
# **Calculated density**: 9.3 g cm⁻³

# 3
# PBE PaGaGeAu, relaxed
data_PaGaGeAu
_cell_length_a 6.912
_cell_length_b 6.912
_cell_length_c 6.912
_cell_angle_alpha 90.00
_cell_angle_beta 90.00
_cell_angle_gamma 90.00
_space_group_name_H-M_alt 'F -4 3 m'
_space_group_IT_number 216
_space_group_name_Hall 'F -4 2 3'
loop_
_atom_site_label
_atom_site_type_symbol
_atom_site_fract_x
_atom_site_fract_y
_atom_site_fract_z
_atom_site_occupancy
Pa1 Pa 0.000 0.000 0.000 1
Ga1 Ga 0.000 0.000 0.500 1
Ge1 Ge 0.250 0.250 0.250 1
Au1 Au 0.250 0.250 0.750 1
# **Volume**: 330.22 Å³ per cell
# **DOS at the Fermi energy**: 20.697 states/eV/cell
# **Energy of formation**: -0.9 eV per formula unit
# **Total energy**: -5.335 eV per atom
# **Calculated density**: 11.5 g cm⁻³

# 4
# PBE CuTe2Pb, relaxed
data_CuTe2Pb
_cell_length_a 4.1903
_cell_length_b 4.1903
_cell_length_c 21.3713
_cell_angle_alpha 90.00
_cell_angle_beta 90.00
_cell_angle_gamma 120.00
_space_group_name_H-M_alt 'R -3 m'
_space_group_IT_number 166
_space_group_name_Hall '-R 3 2"'
loop_
_atom_site_label
_atom_site_type_symbol
_atom_site_fract_x
_atom_site_fract_y
_atom_site_fract_z
_atom_site_occupancy
Cu1 Cu 0.0000 0.0000 0.0000 1
Te1 Te 0.0000 0.0000 0.2663 1
Pb1 Pb 0.0000 0.0000 0.5000 1
# **Volume**: 324.98 Å³ per cell
# **DOS at the Fermi energy**: 8.515 states/eV/cell
# **Energy relative to the elements, uncorrected**: -0.403 eV per formula unit
# **Total energy**: -3.623 eV per atom
# **Calculated density**: 8.1 g cm⁻³

# 5
# PBE AsOsRu2, relaxed
data_AsOsRu2
_cell_length_a 2.818
_cell_length_b 3.973
_cell_length_c 5.287
_cell_angle_alpha 90.00
_cell_angle_beta 103.33
_cell_angle_gamma 90.00
_space_group_name_H-M_alt 'P 1 2/m 1'
_space_group_IT_number 10
loop_
_space_group_symop_operation_xyz
'x,y,z'
'-x,-y,-z'
'-x,y,-z'
'x,-y,z'
loop_
_atom_site_label
_atom_site_type_symbol
_atom_site_fract_x
_atom_site_fract_y
_atom_site_fract_z
_atom_site_occupancy
As1 As 0.000 0.000 0.000 1
Os1 Os 0.000 0.000 0.500 1
Ru1 Ru 0.377 0.500 0.246 1
# **Volume**: 57.59 Å³ per cell
# **DOS at the Fermi energy**: 2.454 states/eV/cell
# **Energy of formation**: 0.6 eV per formula unit
# **Total energy**: -8.449 eV per atom
# **Calculated density**: 13.5 g cm⁻³

# 6
# PBE NbVRh2, relaxed
data_NbVRh2
_cell_length_a 2.832
_cell_length_b 2.832
_cell_length_c 7.420
_cell_angle_alpha 90.00
_cell_angle_beta 90.00
_cell_angle_gamma 90.00
_space_group_name_H-M_alt 'P 4/m m m'
_space_group_IT_number 123
_space_group_name_Hall '-P 4 2'
loop_
_atom_site_label
_atom_site_type_symbol
_atom_site_fract_x
_atom_site_fract_y
_atom_site_fract_z
_atom_site_occupancy
Nb1 Nb 0.000 0.000 0.000 1
V1 V 0.000 0.000 0.500 1
Rh1 Rh 0.500 0.500 0.272 1
# **Volume**: 59.51 Å³ per cell
# **DOS at the Fermi energy**: 3.509 states/eV/cell
# **Energy of formation**: -1.6 eV per formula unit
# **Total energy**: -8.878 eV per atom
# **Calculated density**: 9.8 g cm⁻³

# 7
# PBE ZnNi3Te, relaxed
data_ZnNi3Te
_cell_length_a 4.375
_cell_length_b 4.375
_cell_length_c 4.375
_cell_angle_alpha 90.00
_cell_angle_beta 90.00
_cell_angle_gamma 90.00
_space_group_name_H-M_alt 'P m -3 m'
_space_group_IT_number 221
_space_group_name_Hall '-P 4 2 3'
loop_
_atom_site_label
_atom_site_type_symbol
_atom_site_fract_x
_atom_site_fract_y
_atom_site_fract_z
_atom_site_occupancy
Zn1 Zn 0.000 0.000 0.000 1
Ni1 Ni 0.000 0.000 0.500 1
Te1 Te 0.500 0.500 0.500 1
# **Volume**: 83.77 Å³ per cell
# **DOS at the Fermi energy**: 4.131 states/eV/cell
# **Energy relative to the elements, uncorrected**: 3.166 eV per formula unit
# **Total energy**: -3.719 eV per atom
# **Calculated density**: 7.3 g cm⁻³

# 8
# PBE TbPm4Pr2Th2, relaxed
data_TbPm4Pr2Th2
_cell_length_a 6.178
_cell_length_b 6.877
_cell_length_c 8.590
_cell_angle_alpha 78.73
_cell_angle_beta 70.27
_cell_angle_gamma 64.74
_space_group_name_H-M_alt 'P -1'
_space_group_IT_number 2
loop_
_space_group_symop_operation_xyz
'x,y,z'
'-x,-y,-z'
loop_
_atom_site_label
_atom_site_type_symbol
_atom_site_fract_x
_atom_site_fract_y
_atom_site_fract_z
_atom_site_occupancy
Tb1 Tb 0.000 0.000 0.000 1
Pm1 Pm 0.173 0.432 0.133 1
Pm2 Pm 0.492 0.870 0.227 1
Pr1 Pr 0.403 0.687 0.650 1
Th1 Th 0.043 0.225 0.551 1
# **Volume**: 310.08 Å³ per cell
# **DOS at the Fermi energy**: 13.708 states/eV/cell
# **Energy of formation**: 1.0 eV per formula unit
# **Total energy**: -5.228 eV per atom
# **Calculated density**: 8.0 g cm⁻³